Compound: BaMg3In4
Source: Alexandria via LeMat-Bulk
Functional: GGA-PBE
Structure: optimized geometry

Computed properties:
E_form: -0.14 eV/atom
spin magnetization: 0.00 μB/f.u.
E: -18.79 eV for the cell shown
calculated volume: 29.39 Å³ per atom

a = 5.119 Å, b = 5.119 Å, c = 8.973 Å
α = 90.00°, β = 90.00°, γ = 90.00°
Positions (direct):
Ba  0.000  0.000  0.000
Mg  0.000  0.000  0.500
Mg  0.500  0.500  0.162
Mg  0.500  0.500  0.838
In  0.000  0.500  0.327
In  0.000  0.500  0.673
In  0.500  0.000  0.327
In  0.500  0.000  0.673

---

Compound: Ba2MgIn
Source: Alexandria via LeMat-Bulk
Functional: GGA-PBE
Structure: optimized geometry

Computed properties:
E_form: -0.27 eV/atom
spin magnetization: 0.00 μB/f.u.
E: -18.56 eV for the cell shown
calculated volume: 38.85 Å³ per atom

a = 7.058 Å, b = 7.058 Å, c = 6.369 Å
α = 90.00°, β = 90.00°, γ = 78.43°
Positions (direct):
Ba  0.032  0.318  0.250
Ba  0.318  0.032  0.750
Ba  0.682  0.968  0.250
Ba  0.968  0.682  0.750
Mg  0.500  0.500  0.000
Mg  0.500  0.500  0.500
In  0.212  0.788  0.250
In  0.788  0.212  0.750

---

Compound: BaMg4In2
Source: Alexandria via LeMat-Bulk
Functional: GGA-PBE
Structure: optimized geometry

Computed properties:
E_form: -0.21 eV/atom
spin magnetization: 0.00 μB/f.u.
E: -15.23 eV for the cell shown
calculated volume: 28.50 Å³ per atom

a = 9.653 Å, b = 9.653 Å, c = 9.653 Å
α = 30.02°, β = 30.02°, γ = 30.02°
Positions (direct):
Ba  0.000  0.000  0.000
Mg  0.141  0.141  0.141
Mg  0.435  0.435  0.435
Mg  0.565  0.565  0.565
Mg  0.859  0.859  0.859
In  0.251  0.251  0.251
In  0.749  0.749  0.749

---

Compound: Ba4Mg2In
Source: Alexandria via LeMat-Bulk
Functional: GGA-PBE
Structure: optimized geometry

Computed properties:
E_form: -0.10 eV/atom
spin magnetization: 0.00 μB/f.u.
E: -14.34 eV for the cell shown
calculated volume: 46.18 Å³ per atom

a = 10.584 Å, b = 10.584 Å, c = 10.584 Å
α = 33.59°, β = 33.59°, γ = 33.59°
Positions (direct):
Ba  0.123  0.123  0.123
Ba  0.375  0.375  0.375
Ba  0.625  0.625  0.625
Ba  0.877  0.877  0.877
Mg  0.253  0.253  0.253
Mg  0.747  0.747  0.747
In  0.000  0.000  0.000

---

Compound: BaMg3In
Source: Alexandria via LeMat-Bulk
Functional: GGA-PBE
Structure: optimized geometry

Computed properties:
E_form: -0.06 eV/atom
spin magnetization: 0.00 μB/f.u.
E: -19.52 eV for the cell shown
calculated volume: 30.82 Å³ per atom

a = 7.515 Å, b = 7.515 Å, c = 6.299 Å
α = 90.00°, β = 90.00°, γ = 120.00°
Positions (direct):
Ba  0.333  0.667  0.250
Ba  0.667  0.333  0.750
Mg  0.195  0.390  0.750
Mg  0.195  0.805  0.750
Mg  0.390  0.195  0.250
Mg  0.610  0.805  0.750
Mg  0.805  0.195  0.250
Mg  0.805  0.610  0.250
In  0.000  0.000  0.000
In  0.000  0.000  0.500

---

Compound: Ba3Mg3In2
Source: Alexandria via LeMat-Bulk
Functional: GGA-PBE
Structure: optimized geometry

Computed properties:
E_form: -0.22 eV/atom
spin magnetization: 0.00 μB/f.u.
E: -71.22 eV for the cell shown
calculated volume: 36.94 Å³ per atom

a = 9.643 Å, b = 18.085 Å, c = 6.778 Å
α = 90.00°, β = 90.00°, γ = 90.00°
Positions (direct):
Ba  0.043  0.105  0.125
Ba  0.043  0.395  0.125
Ba  0.168  0.250  0.634
Ba  0.332  0.750  0.134
Ba  0.457  0.605  0.625
Ba  0.457  0.895  0.625
Ba  0.543  0.105  0.375
Ba  0.543  0.395  0.375
Ba  0.668  0.250  0.866
Ba  0.832  0.750  0.366
Ba  0.957  0.605  0.875
Ba  0.957  0.895  0.875
Mg  0.171  0.750  0.615
Mg  0.175  0.035  0.616
Mg  0.175  0.465  0.616
Mg  0.325  0.535  0.116
Mg  0.325  0.965  0.116
Mg  0.329  0.250  0.115
Mg  0.671  0.750  0.885
Mg  0.675  0.035  0.884
Mg  0.675  0.465  0.884
Mg  0.825  0.535  0.384
Mg  0.825  0.965  0.384
Mg  0.829  0.250  0.385
In  0.114  0.603  0.376
In  0.114  0.897  0.376
In  0.386  0.103  0.876
In  0.386  0.397  0.876
In  0.614  0.603  0.124
In  0.614  0.897  0.124
In  0.886  0.103  0.624
In  0.886  0.397  0.624

---

Compound: Ba2MgIn
Source: Alexandria via LeMat-Bulk
Functional: GGA-PBE
Structure: optimized geometry

Computed properties:
E_form: 0.05 eV/atom
spin magnetization: 0.00 μB/f.u.
E: -7.96 eV for the cell shown
calculated volume: 45.52 Å³ per atom

a = 10.840 Å, b = 10.840 Å, c = 10.840 Å
α = 157.78°, β = 157.78°, γ = 31.63°
Positions (direct):
Ba  0.164  0.164  0.000
Ba  0.836  0.836  0.000
Mg  0.500  0.500  0.000
In  0.000  0.000  0.000

---

Compound: BaMg4In2
Source: Alexandria via LeMat-Bulk
Functional: GGA-PBE
Structure: optimized geometry

Computed properties:
E_form: -0.20 eV/atom
spin magnetization: 0.00 μB/f.u.
E: -30.37 eV for the cell shown
calculated volume: 28.12 Å³ per atom

a = 9.042 Å, b = 9.042 Å, c = 4.814 Å
α = 90.00°, β = 90.00°, γ = 90.00°
Positions (direct):
Ba  0.000  0.000  0.000
Ba  0.500  0.500  0.500
Mg  0.090  0.346  0.500
Mg  0.154  0.590  0.000
Mg  0.346  0.090  0.500
Mg  0.410  0.846  0.000
Mg  0.590  0.154  0.000
Mg  0.654  0.910  0.500
Mg  0.846  0.410  0.000
Mg  0.910  0.654  0.500
In  0.218  0.782  0.500
In  0.282  0.282  0.000
In  0.718  0.718  0.000
In  0.782  0.218  0.500

---

Compound: Ba2Mg5In5
Source: Alexandria via LeMat-Bulk
Functional: GGA-PBE
Structure: optimized geometry

Computed properties:
E_form: -0.23 eV/atom
spin magnetization: 0.00 μB/f.u.
E: -28.23 eV for the cell shown
calculated volume: 29.11 Å³ per atom

a = 4.843 Å, b = 6.348 Å, c = 11.362 Å
α = 90.00°, β = 90.00°, γ = 90.00°
Positions (direct):
Ba  0.000  0.000  0.000
Ba  0.000  0.500  0.500
Mg  0.500  0.000  0.500
Mg  0.500  0.248  0.249
Mg  0.500  0.248  0.751
Mg  0.500  0.752  0.249
Mg  0.500  0.752  0.751
In  0.000  0.000  0.331
In  0.000  0.000  0.669
In  0.000  0.500  0.178
In  0.000  0.500  0.822
In  0.500  0.500  0.000

---

Compound: BaMg6In6
Source: Alexandria via LeMat-Bulk
Functional: GGA-PBE
Structure: optimized geometry

Computed properties:
E_form: -0.18 eV/atom
spin magnetization: 0.00 μB/f.u.
E: -30.24 eV for the cell shown
calculated volume: 25.56 Å³ per atom

a = 7.949 Å, b = 7.949 Å, c = 7.949 Å
α = 134.01°, β = 100.91°, γ = 96.67°
Positions (direct):
Ba  0.000  0.000  0.000
Mg  0.000  0.000  0.500
Mg  0.000  0.500  0.000
Mg  0.234  0.500  0.734
Mg  0.500  0.000  0.000
Mg  0.500  0.500  0.500
Mg  0.766  0.500  0.266
In  0.191  0.691  0.500
In  0.350  0.350  0.000
In  0.351  0.000  0.351
In  0.649  0.000  0.649
In  0.650  0.650  0.000
In  0.809  0.309  0.500

---

Compound: BaMg3In
Source: Alexandria via LeMat-Bulk
Functional: GGA-PBE
Structure: optimized geometry

Computed properties:
E_form: 0.10 eV/atom
spin magnetization: 0.00 μB/f.u.
E: -8.95 eV for the cell shown
calculated volume: 34.38 Å³ per atom

a = 5.560 Å, b = 5.560 Å, c = 5.560 Å
α = 90.00°, β = 90.00°, γ = 90.00°
Positions (direct):
Ba  0.000  0.000  0.000
Mg  0.000  0.500  0.500
Mg  0.500  0.000  0.500
Mg  0.500  0.500  0.000
In  0.500  0.500  0.500

---

Compound: Ba3Mg7In4
Source: Alexandria via LeMat-Bulk
Functional: GGA-PBE
Structure: optimized geometry

Computed properties:
E_form: -0.24 eV/atom
spin magnetization: 0.00 μB/f.u.
E: -31.22 eV for the cell shown
calculated volume: 29.93 Å³ per atom

a = 9.647 Å, b = 9.647 Å, c = 10.550 Å
α = 122.71°, β = 122.71°, γ = 31.03°
Positions (direct):
Ba  0.000  0.000  0.000
Ba  0.295  0.295  0.295
Ba  0.705  0.705  0.705
Mg  0.000  0.000  0.500
Mg  0.148  0.148  0.424
Mg  0.332  0.332  0.981
Mg  0.499  0.499  0.686
Mg  0.501  0.501  0.314
Mg  0.668  0.668  0.019
Mg  0.852  0.852  0.576
In  0.130  0.130  0.841
In  0.346  0.346  0.712
In  0.654  0.654  0.288
In  0.870  0.870  0.159